# U2PtS4Br (PBE-GGA, optimized geometry)
data_U2PtS4Br
_cell_length_a 11.431
_cell_length_b 3.965
_cell_length_c 9.487
_cell_angle_alpha 90.00
_cell_angle_beta 118.13
_cell_angle_gamma 90.00
_space_group_name_H-M_alt 'C 1 2/m 1'
_space_group_IT_number 12
loop_
_space_group_symop_operation_xyz
'x,y,z'
'-x,-y,-z'
'-x,y,-z'
'x,-y,z'
'x+1/2,y+1/2,z'
'-x+1/2,-y+1/2,-z'
'-x+1/2,y+1/2,-z'
'x+1/2,-y+1/2,z'
loop_
_atom_site_label
_atom_site_type_symbol
_atom_site_fract_x
_atom_site_fract_y
_atom_site_fract_z
U1 U 0.207 0.000 0.292
Pt1 Pt 0.000 0.000 0.500
S1 S 0.118 0.500 0.407
S2 S 0.169 0.000 0.773
Br1 Br 0.000 0.500 0.000
# Electronic total energy, eV for the cell shown: -108.9

---

# Sm12AlHg6 (PBE-GGA, optimized geometry)
data_Sm12AlHg6
_cell_length_a 13.6929
_cell_length_b 13.6929
_cell_length_c 12.1103
_cell_angle_alpha 90.00
_cell_angle_beta 90.00
_cell_angle_gamma 120.00
_space_group_name_H-M_alt 'R -3'
_space_group_IT_number 148
_space_group_name_Hall '-R 3'
loop_
_atom_site_label
_atom_site_type_symbol
_atom_site_fract_x
_atom_site_fract_y
_atom_site_fract_z
Sm1 Sm 0.0325 0.8219 0.3903
Sm2 Sm 0.0446 0.8319 0.8917
Al1 Al 0.0000 0.0000 0.0000
Hg1 Hg 0.0443 0.7823 0.6447
# Energy of formation, kJ per mole of atoms: -3.5
# Electronic total energy, eV for the cell shown: -188.6

---

# Tb3MgCd12 (PBE-GGA, optimized geometry)
data_Tb3MgCd12
_cell_length_a 4.608
_cell_length_b 4.608
_cell_length_c 17.860
_cell_angle_alpha 90.00
_cell_angle_beta 90.00
_cell_angle_gamma 90.00
_space_group_name_H-M_alt 'P 4/m m m'
_space_group_IT_number 123
_space_group_name_Hall '-P 4 2'
loop_
_atom_site_label
_atom_site_type_symbol
_atom_site_fract_x
_atom_site_fract_y
_atom_site_fract_z
Tb1 Tb 0.000 0.000 0.000
Tb2 Tb 0.000 0.000 0.261
Mg1 Mg 0.000 0.000 0.500
Cd1 Cd 0.000 0.500 0.129
Cd2 Cd 0.000 0.500 0.385
Cd3 Cd 0.500 0.500 0.000
Cd4 Cd 0.500 0.500 0.261
Cd5 Cd 0.500 0.500 0.500
# Energy of formation, kJ per mole of atoms: -20.8
# Electronic total energy, eV for the cell shown: -29.9

---

# Zn3Cd2Ag2 (PBE-GGA, optimized geometry)
data_Zn3Cd2Ag2
_cell_length_a 8.098
_cell_length_b 8.098
_cell_length_c 8.098
_cell_angle_alpha 90.00
_cell_angle_beta 90.00
_cell_angle_gamma 90.00
_space_group_name_H-M_alt 'I 21 3'
_space_group_IT_number 199
_space_group_name_Hall 'I 2b 2c 3'
loop_
_atom_site_label
_atom_site_type_symbol
_atom_site_fract_x
_atom_site_fract_y
_atom_site_fract_z
Zn1 Zn 0.000 0.250 0.286
Cd1 Cd 0.165 0.335 0.665
Ag1 Ag 0.034 0.034 0.034
# Energy of formation, kJ per mole of atoms: 11.8
# Electronic total energy, eV for the cell shown: -42.0
# ΔE to the lowest computed polymorph, meV/atom: 69

---

# SbIrBr2 (PBE-GGA, optimized geometry)
data_SbIrBr2
_cell_length_a 3.387
_cell_length_b 4.971
_cell_length_c 13.466
_cell_angle_alpha 90.00
_cell_angle_beta 90.00
_cell_angle_gamma 90.00
_space_group_name_H-M_alt 'I m m m'
_space_group_IT_number 71
_space_group_name_Hall '-I 2 2'
loop_
_atom_site_label
_atom_site_type_symbol
_atom_site_fract_x
_atom_site_fract_y
_atom_site_fract_z
Sb1 Sb 0.000 0.000 0.000
Ir1 Ir 0.000 0.000 0.500
Br1 Br 0.000 0.500 0.144
# Electronic total energy, eV for the cell shown: -30.3
# ΔE to the lowest computed polymorph, meV/atom: 583

---

# ZrAl8Si2 (PBE-GGA, optimized geometry)
data_ZrAl8Si2
_cell_length_a 3.934
_cell_length_b 3.934
_cell_length_c 12.465
_cell_angle_alpha 90.00
_cell_angle_beta 90.00
_cell_angle_gamma 90.00
_space_group_name_H-M_alt 'P 4/m m m'
_space_group_IT_number 123
_space_group_name_Hall '-P 4 2'
loop_
_atom_site_label
_atom_site_type_symbol
_atom_site_fract_x
_atom_site_fract_y
_atom_site_fract_z
Zr1 Zr 0.000 0.000 0.000
Al1 Al 0.000 0.500 0.171
Al2 Al 0.000 0.500 0.500
Al3 Al 0.500 0.500 0.336
Si1 Si 0.000 0.000 0.341
# Electronic total energy, eV for the cell shown: -48.6
# ΔE to the lowest computed polymorph, meV/atom: 0